1.
{
  "formula": "MnGeS2",
  "functional": "PBE",
  "state": "relaxed",
  "cell": [[3.2671, -0.0430, -0.3417], [-0.0032, 5.6124, -0.7527], [-0.8123, 0.1565, 8.0222]],
  "species": ["S", "S", "S", "S", "Mn", "Mn", "Ge", "Ge"],
  "frac_coords": [[0.5505, 0.3974, 0.8968], [0.3884, 0.0099, 0.5589], [0.0574, 0.8974, 0.8969], [0.8817, 0.5099, 0.5589], [0.9694, 0.2036, 0.7278], [0.4694, 0.7036, 0.7278], [0.3568, 0.9540, 0.2278], [0.5834, 0.4541, 0.2279]],
  "relative_energy_mev_per_atom": 6,
  "energy_ev_per_atom": -5.817,
  "magmom_total_mub_per_cell": 4.78
}

2.
{
  "formula": "CoBi3As",
  "functional": "PBE",
  "state": "relaxed",
  "cell": [[-5.4188, -0.5679, 0.8054], [-0.4787, -2.4177, -4.9255], [0.8614, -4.9160, 2.3293]],
  "species": ["Bi", "Bi", "Bi", "Co", "As"],
  "frac_coords": [[0.0000, 0.5000, 0.0000], [0.0000, 0.0000, 0.5000], [0.5000, 0.0000, 0.0000], [0.5000, 0.5000, 0.5000], [0.0000, 0.0000, 0.0000]],
  "relative_energy_mev_per_atom": 732,
  "energy_ev_per_atom": -3.502,
  "formation_enthalpy_0k_mev_per_atom": 1177,
  "magmom_total_mub_per_cell": 1.52
}

3.
{
  "formula": "Hf3CdH3",
  "functional": "PBE",
  "state": "relaxed",
  "cell": [[5.7272, 0.0000, 0.0000], [0.0000, 5.7272, 0.0000], [0.0000, 0.0000, 5.7272]],
  "species": ["Cd", "Cd", "Hf", "Hf", "Hf", "Hf", "Hf", "Hf", "H", "H", "H", "H", "H", "H"],
  "frac_coords": [[0.5000, 0.5000, 0.5000], [0.0000, 0.0000, 0.0000], [0.5000, 0.0000, 0.2500], [0.2500, 0.5000, 0.0000], [0.0000, 0.2500, 0.5000], [0.0000, 0.7500, 0.5000], [0.5000, 0.0000, 0.7500], [0.7500, 0.5000, 0.0000], [0.0000, 0.5000, 0.7500], [0.0000, 0.5000, 0.2500], [0.2500, 0.0000, 0.5000], [0.5000, 0.7500, 0.0000], [0.5000, 0.2500, 0.0000], [0.7500, 0.0000, 0.5000]],
  "energy_ev_per_atom": -6.112,
  "magmom_total_mub_per_cell": 0.00
}

4.
{
  "formula": "CuAg2Pb",
  "functional": "PBE",
  "state": "relaxed",
  "cell": [[-3.5639, 1.4298, -3.6619], [-4.8892, 0.1279, 2.0579], [4.7322, 2.1780, 1.0092]],
  "species": ["Ag", "Ag", "Pb", "Cu"],
  "frac_coords": [[0.0053, 0.0053, 0.0000], [0.2683, 0.7683, 0.5000], [0.7352, 0.2352, 0.5000], [0.4912, 0.4912, 0.0000]],
  "energy_ev_per_atom": -3.187,
  "formation_enthalpy_0k_mev_per_atom": 190,
  "magmom_total_mub_per_cell": 0.00
}